# 1
# Sr4Tl3Sn

Crystalline Sr4Tl3Sn at its relaxed geometry (PBE, Alexandria).

E	-0.0994	Ha/atom

Cell: 5.794 5.794 9.151 Å, 108.56 108.46 90.00°
Fractional coordinates of all 8 atoms:
Sr 0.375 0.375 0.750
Sr 0.625 0.625 0.250
Sr 0.125 0.125 0.250
Sr 0.875 0.875 0.750
Tl 0.000 0.500 0.000
Tl 0.752 0.251 0.503
Tl 0.248 0.749 0.497
Sn 0.500 0.000 0.000

=====

# 2
# Tb2Cd3Au2

Crystalline Tb2Cd3Au2 at its relaxed geometry (PBE, Alexandria).

ΔE to the lowest computed polymorph	0.00	eV/f.u.
E	-0.1174	Ha/atom

Cell: 4.627 5.500 7.404 Å, 106.76 90.00 114.88°
Fractional coordinates of all 7 atoms:
Tb 0.864 0.729 0.217
Tb 0.136 0.271 0.783
Cd 0.500 0.000 0.000
Cd 0.621 0.241 0.433
Cd 0.379 0.759 0.567
Au 0.831 0.662 0.799
Au 0.169 0.338 0.201

=====

> Which value of E does entry 2 give?

-0.1174 Ha/atom